1.
SrAl3Tc after structural relaxation. Source: Alexandria, functional PBE-GGA.

```
5
Lattice="4.8430 0.0000 0.0000 0.0000 4.8430 0.0000 0.0000 0.0000 4.8430" Properties=species:S:1:pos:R:3 pbc="T T T"
Sr 0.0000 0.0000 0.0000
Al 0.0000 2.4215 2.4215
Al 2.4215 0.0000 2.4215
Al 2.4215 2.4215 0.0000
Tc 2.4215 2.4215 2.4215
```

## Properties
relative energy among the computed polymorphs	0.028	eV/atom
E_tot	-4.9493	eV/atom
space group	No. 221
formation enthalpy at 0 K	-0.294	eV/atom
M_tot	0.00	Bohr magnetons per cell

***

2.
Co2SiIr after structural relaxation. Source: Alexandria, functional PBE-GGA.

```
4
Lattice="4.2362 0.0000 0.0000 0.0000 2.7156 0.0000 -1.0999 0.0000 4.1479" Properties=species:S:1:pos:R:3 pbc="T T T"
Co 0.0000 0.0000 0.0000
Co 2.1181 1.3578 0.0000
Si -0.5499 1.3578 2.0739
Ir 1.5682 0.0000 2.0739
```

## Properties
E_tot	-7.3486	eV/atom
formation energy from raw total energies	-0.225	eV/atom
space group	No. 10
M_tot	1.55	Bohr magnetons per cell

***

3.
TeAs2Rh after structural relaxation. Source: Alexandria, functional PBE-GGA.

```
4
Lattice="3.6319 -1.5396 0.0000 3.6319 1.5396 0.0000 -0.5554 0.0000 7.4077" Properties=species:S:1:pos:R:3 pbc="T T T"
Te 0.0000 0.0000 0.0000
As 1.1883 0.0000 5.0714
As 5.5200 0.0000 2.3362
Rh 3.3541 0.0000 3.7038
```

## Properties
E_tot	-5.0219	eV/atom
formation energy from raw total energies	-0.074	eV/atom
space group	No. 12
M_tot	0.00	Bohr magnetons per cell